Here is an optimized crystal structure of MnInRe2 from Alexandria. Energies are from PBE.

Cell: 3.8529 2.8144 6.5400 Å, 64.47 90.00 90.00°
Each line ends with the local moment (μB).
Fractional positions:
Mn: 0.5000 0.7500 0.7500  2.10
Re: 0.0000 0.0456 0.9543  -0.13
In: 0.5000 0.2500 0.2500  0.00
Re: 0.0000 0.4544 0.5457  -0.13

Output
Energy (eV for the cell shown): -35.1
Crystal system: orthorhombic
DFT formation energy (eV per atom): 0.4249
Calculated volume (Å³/cell): 64.0
Size of the total moment (μB/atom): 0.474

=====

Here is an optimized crystal structure of MnInRe2 from Alexandria. Energies are from PBE.

Cell: 2.9982 2.9982 6.8465 Å, 90.00 90.00 90.00°
Fractional positions:
In: 0.0000 0.0000 0.5156
Mn: 0.5000 0.5000 0.7830
Re: 0.0000 0.0000 0.9809
Re: 0.5000 0.5000 0.2205

Output
Energy (eV for the cell shown): -35.5
Crystal system: tetragonal
DFT formation energy (eV per atom): 0.3138
Calculated volume (Å³/cell): 61.5
Size of the total moment (μB/atom): 0.000

=====

Here is an optimized crystal structure of Mn2InRe from Alexandria. Energies are from PBE.

Cell: 7.0415 7.0415 5.6778 Å, 51.68 51.68 90.00°
Each line ends with the local moment (μB).
Fractional positions:
Mn: 0.8750 0.9182 0.7500  2.30
Mn: 0.3750 0.3318 0.7500  2.32
Re: 0.0000 0.0000 0.0000  -0.61
Re: 0.7500 0.2500 0.5000  -0.61
In: 0.5000 0.5000 0.0000  -0.01
In: 0.2500 0.7500 0.5000  -0.01
Mn: 0.0818 0.6250 0.2500  2.33
Mn: 0.6682 0.1250 0.2500  2.35

Output
Energy (eV for the cell shown): -60.9
Crystal system: tetragonal
DFT formation energy (eV per atom): 0.7725
Calculated volume (Å³/cell): 135.3
Size of the total moment (μB/atom): 1.044

=====

Here is an optimized crystal structure of MnInRe2 from Alexandria. Energies are from PBE.

Cell: 5.5605 5.5605 5.5605 Å, 150.19 131.97 57.56°
Each line ends with the local moment (μB).
Fractional positions:
In: 0.7500 0.2500 0.5000  -0.06
Re: 0.4674 0.4674 0.0000  -0.07
Re: 0.0326 0.0326 0.0000  -0.07
Mn: 0.2500 0.7500 0.5000  2.29

Output
Energy (eV for the cell shown): -35.4
Crystal system: orthorhombic
DFT formation energy (eV per atom): 0.3563
Calculated volume (Å³/cell): 63.1
Size of the total moment (μB/atom): 0.536

=====

Here is an optimized crystal structure of MnInRe2 from Alexandria. Energies are from PBE.

Cell: 3.2879 4.3060 4.4571 Å, 90.00 90.00 90.00°
Each line ends with the local moment (μB).
Fractional positions:
Re: 0.0000 0.0000 0.0000  -0.12
In: 0.5000 0.0000 0.5000  -0.04
Mn: 0.0000 0.5000 0.5000  3.02
Re: 0.5000 0.5000 0.0000  0.03

Output
Energy (eV for the cell shown): -35.0
Crystal system: orthorhombic
DFT formation energy (eV per atom): 0.4632
Calculated volume (Å³/cell): 63.1
Size of the total moment (μB/atom): 0.744

=====

Here is an optimized crystal structure of Mn2InRe from Alexandria. Energies are from PBE.

Cell: 4.8569 4.8569 4.8569 Å, 133.46 133.46 67.92°
Each line ends with the local moment (μB).
Fractional positions:
Mn: 0.2500 0.7500 0.5000  1.96
Mn: 0.0000 0.0000 0.0000  2.60
Re: 0.5000 0.5000 0.0000  -0.39
In: 0.7500 0.2500 0.5000  -0.06

Output
Energy (eV for the cell shown): -31.9
Crystal system: tetragonal
DFT formation energy (eV per atom): 0.3963
Calculated volume (Å³/cell): 59.3
Size of the total moment (μB/atom): 1.054